{
  "formula": "NdEr4Sc2",
  "functional": "GGA-PBE",
  "state": "optimized geometry",
  "lattice": [[8.120, 0.438, -1.811], [-4.448, 7.549, -2.583], [0.102, -0.730, 6.860]],
  "species": ["Er", "Er", "Er", "Er", "Er", "Sc", "Nd", "Er", "Sc", "Nd", "Sc", "Er", "Er", "Sc"],
  "frac_coords": [[0.519, 0.477, 0.820], [0.249, 0.612, 0.068], [0.932, 0.738, 0.803], [0.668, 0.916, 0.568], [0.383, 0.077, 0.336], [0.801, 0.343, 0.821], [0.070, 0.201, 0.072], [0.798, 0.337, 0.321], [0.064, 0.205, 0.569], [0.260, 0.624, 0.580], [0.522, 0.481, 0.321], [0.938, 0.748, 0.307], [0.382, 0.081, 0.837], [0.663, 0.910, 0.075]],
  "e_tot_ev_per_atom": -5.05,
  "space_group": "P1, No. 1",
  "ef_ev_per_atom": 0.046,
  "de_polymorph_mev_per_atom": 0
}